Entry 1:
Compound: Cs3Li2NdI9
Source: the Alexandria database
Functional: PBE-GGA
Structure: relaxed

## Properties
E_form (uncorrected)   -1.281 eV/atom
Mass density   4.2 Mg/m³

Unit cell a=8.5214 b=8.5214 c=10.6058 alpha=90.00 beta=90.00 gamma=120.00
Space group P-3m1 (No. 164)
Asymmetric unit:
1 Cs 0.0000 0.0000 0.0000 (multiplicity 1)
2 Cs 0.3333 0.6667 0.6773 (multiplicity 2)
3 Li 0.3333 0.6667 0.1401 (multiplicity 2)
4 Nd 0.0000 0.0000 0.5000 (multiplicity 1)
5 I 0.0000 0.5000 0.0000 (multiplicity 3)
6 I 0.1709 0.3419 0.3294 (multiplicity 6)

=====

Entry 2:
Compound: Cs2Li2NdI6
Source: the Alexandria database
Functional: PBE-GGA
Structure: relaxed

## Properties
E_form (uncorrected)   -1.263 eV/atom
Mass density   3.7 Mg/m³

Unit cell a=14.5590 b=8.8181 c=8.9527 alpha=90.00 beta=113.56 gamma=90.00
Space group C2/m (No. 12)
Asymmetric unit:
1 Cs 0.1993 0.0000 0.1798 (multiplicity 4)
2 Li 0.0633 0.5000 0.2706 (multiplicity 4)
3 Nd 0.0000 0.0000 0.5000 (multiplicity 2)
4 I 0.0483 0.2493 0.7843 (multiplicity 8)
5 I 0.2406 0.0000 0.6310 (multiplicity 4)

=====

Entry 3:
Compound: Cs2LiNdI6
Source: the Alexandria database
Functional: PBE-GGA
Structure: relaxed

## Properties
E_form (uncorrected)   -1.439 eV/atom
Mass density   4.3 Mg/m³
Relative energy among the computed polymorphs   6 meV per atom

Unit cell a=12.2412 b=12.2412 c=12.2412 alpha=90.00 beta=90.00 gamma=90.00
Space group Fm-3m (No. 225)
Asymmetric unit:
1 Cs 0.2500 0.2500 0.2500 (multiplicity 8)
2 Li 0.0000 0.0000 0.0000 (multiplicity 4)
3 Nd 0.0000 0.0000 0.5000 (multiplicity 4)
4 I 0.0000 0.0000 0.2458 (multiplicity 24)